No. 1
The following is a DFT calculation (PBE-GGA) of a relaxed Sn3Pb4Se8 crystal.

Computed properties:
DFT total energy ... -4.014 eV per atom
Space group ... R-3m, No. 166
Energy relative to the elements, uncorrected ... -367 meV/atom

Cell: 8.2924 8.2924 9.2455 Å, 63.36 63.36 60.00°
Fractional coordinates of all 15 atoms:
Pb 0.0000 0.0000 0.0000
Pb 0.5000 0.5000 0.5000
Pb 0.6450 0.6450 0.0650
Pb 0.3550 0.3550 0.9350
Sn 0.0000 0.5000 0.5000
Sn 0.0000 0.0000 0.5000
Sn 0.5000 0.0000 0.5000
Se 0.7666 0.7666 0.7002
Se 0.7490 0.2326 0.2695
Se 0.2510 0.7674 0.7305
Se 0.2334 0.2334 0.2998
Se 0.2510 0.2510 0.7305
Se 0.7674 0.2510 0.7305
Se 0.7490 0.7490 0.2695
Se 0.2326 0.7490 0.2695

=====

No. 2
The following is a DFT calculation (PBE-GGA) of a relaxed SnPbSe3 crystal.

Computed properties:
DFT total energy ... -3.959 eV per atom
Space group ... P-1, No. 2
Energy relative to the elements, uncorrected ... -326 meV/atom

Cell: 4.1879 8.7759 9.6615 Å, 102.03 102.68 89.87°
Fractional coordinates of all 10 atoms:
Se 0.8114 0.4134 0.6257
Se 0.9789 0.6978 0.9580
Se 0.0211 0.3022 0.0420
Se 0.1886 0.5866 0.3743
Se 0.3330 0.0233 0.6647
Se 0.6670 0.9767 0.3353
Sn 0.8862 0.1951 0.7711
Sn 0.1138 0.8049 0.2289
Pb 0.3661 0.6678 0.7342
Pb 0.6339 0.3322 0.2658

=====

No. 3
The following is a DFT calculation (PBE-GGA) of a relaxed Sn4PbSe6 crystal.

Computed properties:
DFT total energy ... -4.061 eV per atom
Space group ... P1, No. 1
Energy relative to the elements, uncorrected ... -367 meV/atom

Cell: 6.2639 6.1990 10.7277 Å, 116.99 116.14 83.96°
Fractional coordinates of all 11 atoms:
Se 0.0810 0.5592 0.6579
Se 0.0956 0.6131 0.0450
Se 0.4999 0.9891 0.6146
Se 0.3454 0.3136 0.3338
Se 0.5924 0.1219 0.9682
Se 0.8312 0.8222 0.3338
Sn 0.5637 0.6535 0.7488
Sn 0.0934 0.1119 0.6620
Sn 0.4030 0.8784 0.3236
Sn 0.8650 0.3369 0.3211
Pb 0.1296 0.1005 0.9909

=====

No. 4
The following is a DFT calculation (PBE-GGA) of a relaxed SnPb2Se2 crystal.

Computed properties:
DFT total energy ... -3.801 eV per atom
Space group ... P4/mbm, No. 127
Energy relative to the elements, uncorrected ... -123 meV/atom

Cell: 8.4114 8.4114 4.0755 Å, 90.00 90.00 90.00°
Fractional coordinates of all 10 atoms:
Pb 0.3505 0.8505 0.0000
Pb 0.8505 0.6495 0.0000
Pb 0.6495 0.1495 0.0000
Pb 0.1495 0.3505 0.0000
Se 0.8290 0.3290 0.5000
Se 0.3290 0.1710 0.5000
Se 0.1710 0.6710 0.5000
Se 0.6710 0.8290 0.5000
Sn 0.0000 0.0000 0.0000
Sn 0.5000 0.5000 0.0000

=====

No. 5
The following is a DFT calculation (PBE-GGA) of a relaxed SrSnPb2Se4 crystal.

Computed properties:
DFT total energy ... -4.279 eV per atom
Space group ... P2/m, No. 10
Energy relative to the elements, uncorrected ... -899 meV/atom

Cell: 4.3832 7.6067 7.5906 Å, 109.44 90.00 90.00°
Fractional coordinates of all 8 atoms:
Sn 0.0000 0.0000 0.0000
Pb 0.5000 0.0000 0.5000
Pb 0.0000 0.5000 0.5000
Se 0.5000 0.7556 0.7554
Se 0.0000 0.2474 0.7530
Se 0.5000 0.2444 0.2446
Se 0.0000 0.7526 0.2470
Sr 0.5000 0.5000 0.0000

=====

No. 6
The following is a DFT calculation (PBE-GGA) of a relaxed Sr2SnPbSe5 crystal.

Computed properties:
DFT total energy ... -4.298 eV per atom
Space group ... Cmc2_1, No. 36
Energy relative to the elements, uncorrected ... -1131 meV/atom

Cell: 4.2413 10.0423 12.9472 Å, 90.00 90.00 102.19°
Fractional coordinates of all 18 atoms:
Se 0.4890 0.9781 0.7634
Se 0.3262 0.6524 0.3506
Se 0.9639 0.9277 0.5535
Se 0.0361 0.0723 0.0535
Se 0.6738 0.3476 0.8506
Se 0.3598 0.7197 0.0028
Se 0.5110 0.0219 0.2634
Se 0.7160 0.4320 0.1914
Se 0.2840 0.5680 0.6914
Se 0.6402 0.2803 0.5028
Sr 0.8695 0.7389 0.8215
Sr 0.8803 0.7606 0.1762
Sr 0.1197 0.2394 0.6762
Sr 0.1305 0.2611 0.3215
Pb 0.2148 0.4297 0.0323
Pb 0.7852 0.5703 0.5323
Sn 0.5552 0.1105 0.9324
Sn 0.4448 0.8895 0.4324

=====

No. 7
The following is a DFT calculation (PBE-GGA) of a relaxed Sr3SnPb2Se6 crystal.

Computed properties:
DFT total energy ... -4.387 eV per atom
Space group ... C2/m, No. 12
Energy relative to the elements, uncorrected ... -1272 meV/atom

Cell: 4.4127 8.8472 9.8865 Å, 103.08 102.90 90.00°
Fractional coordinates of all 12 atoms:
Sr 0.5000 0.5000 0.0000
Sr 0.8331 0.1671 0.6661
Sr 0.1669 0.8329 0.3339
Se 0.6651 0.0812 0.3303
Se 0.0004 0.7536 0.0009
Se 0.6664 0.5832 0.3328
Se 0.9996 0.2464 0.9991
Se 0.3349 0.9188 0.6697
Se 0.3336 0.4168 0.6672
Pb 0.1659 0.3318 0.3318
Pb 0.8341 0.6682 0.6682
Sn 0.5000 0.0000 0.0000

=====

No. 8
The following is a DFT calculation (PBE-GGA) of a relaxed Sr2SnPbSe4 crystal.

Computed properties:
DFT total energy ... -4.383 eV per atom
Space group ... P2/m, No. 10
Energy relative to the elements, uncorrected ... -1257 meV/atom

Cell: 4.4049 7.6588 7.6326 Å, 70.61 90.00 90.00°
Fractional coordinates of all 8 atoms:
Sr 0.0000 0.0000 0.0000
Sr 0.5000 0.0000 0.5000
Se 0.5000 0.7475 0.2534
Se 0.0000 0.7487 0.7475
Se 0.5000 0.2525 0.7466
Se 0.0000 0.2513 0.2525
Pb 0.5000 0.5000 0.0000
Sn 0.0000 0.5000 0.5000